{"formula": "LiPuUTc", "functional": "PBE-GGA", "state": "optimized geometry", "lattice_angstrom": [[-1.596, -3.474, 2.528], [2.923, -2.856, 2.074], [0.445, 0.090, 4.561]], "species": ["Pu", "Li", "U", "Tc"], "frac_coords": [[0.500, 0.500, 0.500], [0.750, 0.750, 0.750], [0.250, 0.250, 0.250], [0.000, 0.000, 0.000]], "energy_ev_per_atom": -9.40}